1.
Here is a relaxed structure of TbPmHo2S4 from the Alexandria database. Energies are from PBE. Values from VASP.

## Properties
space-group type: P2/m (10)
spin magnetization: 0.00 μB/f.u.
ΔE_f (raw): -16.0 eV per formula unit

Structure (Quantum ESPRESSO input):
```
&SYSTEM
  ibrav = 0, nat = 8, ntyp = 4
/
ATOMIC_SPECIES
S 32.06 S.upf
Ho 164.93 Ho.upf
Tb 158.93 Tb.upf
Pm 145.00 Pm.upf
CELL_PARAMETERS angstrom
3.8899 0.0000 0.0000
0.0000 6.8621 -0.1768
0.0000 2.3758 6.3845
ATOMIC_POSITIONS angstrom
S 1.9450 5.7968 1.4720
S 0.0001 6.9851 4.6026
Ho 1.9449 1.1879 3.1923
Tb 0.0000 4.6189 3.1039
Pm 1.9449 3.4311 -0.0884
Ho 0.0000 2.3758 6.3845
S 1.9450 3.4411 4.7357
S 3.8899 2.2528 1.6051
```

2.
Here is a relaxed structure of KCd2InCu from the Alexandria database. Energies are from PBE. Values from VASP.

## Properties
space-group type: P4/mmm (123)
formation energy from the elements: 0.03 eV/atom
spin magnetization: 0.00 μB/f.u.

Structure (Quantum ESPRESSO input):
```
&SYSTEM
  ibrav = 0, nat = 5, ntyp = 4
/
ATOMIC_SPECIES
Cd 112.41 Cd.upf
In 114.82 In.upf
Cu 63.55 Cu.upf
K 39.10 K.upf
CELL_PARAMETERS angstrom
5.1984 0.0000 0.0000
0.0000 5.1984 0.0000
0.0000 0.0000 5.1235
ATOMIC_POSITIONS angstrom
Cd 2.5992 0.0000 0.0000
In 0.0000 0.0000 2.5617
Cd 0.0000 2.5992 0.0000
Cu 0.0000 0.0000 0.0000
K 2.5992 2.5992 2.5617
```

Q: Number 2 is which compound?
A: KCd2InCu

Q: What is the spin magnetization in the first record?
A: 0.00 μB/f.u.